# CeDy2AlN | the Alexandria database | PBE-GGA | optimized geometry
# Magnetization: 0.60 μB per formula unit
# Formation energy from raw total energies: -79 kJ per mole of atoms
data_CeDy2AlN
_space_group_name_H-M_alt 'P 4/m m m'
_space_group_IT_number 123
_space_group_name_Hall '-P 4 2'
_cell_length_a 4.810
_cell_length_b 4.810
_cell_length_c 4.806
_cell_angle_alpha 90.00
_cell_angle_beta 90.00
_cell_angle_gamma 90.00
loop_
_atom_site_label
_atom_site_type_symbol
_atom_site_fract_x
_atom_site_fract_y
_atom_site_fract_z
Ce1 Ce 0.000 0.000 0.000
Dy1 Dy 0.000 0.500 0.500
Al1 Al 0.500 0.500 0.000
N1 N 0.000 0.000 0.500